[1]
! GGA-PBE CoHg2Mo, optimized geometry; values from VASP
&SYSTEM
  ibrav = 0, nat = 4, ntyp = 3
/
ATOMIC_SPECIES
Co 58.93 Co.upf
Hg 200.59 Hg.upf
Mo 95.94 Mo.upf
ATOMIC_POSITIONS angstrom
Co 0.000 0.000 0.000
Hg 0.000 0.000 7.021
Hg 0.000 0.000 20.570
Mo 0.000 0.000 13.796
CELL_PARAMETERS angstrom
1.476 0.852 9.197
-1.476 0.852 9.197
0.000 -1.705 9.197
! * electronic total energy: -16.0 eV per cell
! * ΔE to the lowest computed polymorph: 124 kJ/mol of formula units
! * space-group type: R-3m (166)
! * energy of formation from the pure elements: 0.646 eV/atom

---

[2]
! GGA-PBE CoHgMo, optimized geometry; values from VASP
&SYSTEM
  ibrav = 0, nat = 3, ntyp = 3
/
ATOMIC_SPECIES
Co 58.93 Co.upf
Hg 200.59 Hg.upf
Mo 95.94 Mo.upf
ATOMIC_POSITIONS angstrom
Co 0.000 0.000 0.000
Hg 0.000 0.000 7.739
Mo 0.000 0.000 4.281
CELL_PARAMETERS angstrom
-1.431 1.431 5.739
1.431 -1.431 5.739
1.431 1.431 -5.739
! * electronic total energy: -17.2 eV per cell
! * ΔE to the lowest computed polymorph: 0 kJ/mol of formula units
! * space-group type: I4mm (107)
! * energy of formation from the pure elements: 0.352 eV/atom

---

[3]
! GGA-PBE Co2Hg2Mo, optimized geometry; values from VASP
&SYSTEM
  ibrav = 0, nat = 5, ntyp = 3
/
ATOMIC_SPECIES
Co 58.93 Co.upf
Hg 200.59 Hg.upf
Mo 95.94 Mo.upf
ATOMIC_POSITIONS angstrom
Co 0.000 2.404 0.000
Co 2.404 0.000 0.000
Hg 0.000 0.000 0.000
Hg 0.000 0.000 2.584
Mo 2.404 2.404 2.584
CELL_PARAMETERS angstrom
4.808 0.000 0.000
0.000 4.808 0.000
0.000 0.000 5.168
! * electronic total energy: -15.9 eV per cell
! * space-group type: P4/mmm (123)
! * energy of formation from the pure elements: 1.941 eV/atom

---

[4]
! GGA-PBE CoHg2Mo, optimized geometry; values from VASP
&SYSTEM
  ibrav = 0, nat = 4, ntyp = 3
/
ATOMIC_SPECIES
Co 58.93 Co.upf
Hg 200.59 Hg.upf
Mo 95.94 Mo.upf
ATOMIC_POSITIONS angstrom
Co 0.000 0.000 0.000
Hg 1.655 0.000 3.825
Hg 6.830 0.000 1.226
Mo 4.242 0.000 2.525
CELL_PARAMETERS angstrom
4.789 -1.441 0.000
4.789 1.441 0.000
-1.092 0.000 5.051
! * electronic total energy: -15.8 eV per cell
! * ΔE to the lowest computed polymorph: 143 kJ/mol of formula units
! * space-group type: C2/m (12)
! * energy of formation from the pure elements: 0.696 eV/atom

---

[5]
! GGA-PBE CoHg2Mo, optimized geometry; values from VASP
&SYSTEM
  ibrav = 0, nat = 8, ntyp = 3
/
ATOMIC_SPECIES
Co 58.93 Co.upf
Hg 200.59 Hg.upf
Mo 95.94 Mo.upf
ATOMIC_POSITIONS angstrom
Co 0.000 0.000 0.000
Co 0.000 3.681 1.393
Hg 5.521 1.669 -0.696
Hg 1.669 1.840 0.696
Hg -1.840 2.012 2.089
Hg 2.012 1.840 3.481
Mo 3.681 0.000 1.393
Mo 0.000 0.000 2.785
CELL_PARAMETERS angstrom
-3.681 3.681 2.785
3.681 -3.681 2.785
3.681 3.681 -2.785
! * electronic total energy: -28.8 eV per cell
! * ΔE to the lowest computed polymorph: 273 kJ/mol of formula units
! * space-group type: I-42d (122)
! * energy of formation from the pure elements: 1.031 eV/atom

---

[6]
! GGA-PBE CoHg2Mo, optimized geometry; values from VASP
&SYSTEM
  ibrav = 0, nat = 4, ntyp = 3
/
ATOMIC_SPECIES
Co 58.93 Co.upf
Hg 200.59 Hg.upf
Mo 95.94 Mo.upf
ATOMIC_POSITIONS angstrom
Co 0.000 0.000 0.000
Hg 1.432 1.432 1.934
Hg 1.432 1.432 6.366
Mo 0.000 0.000 4.150
CELL_PARAMETERS angstrom
2.864 0.000 0.000
0.000 2.864 0.000
0.000 0.000 8.301
! * electronic total energy: -16.1 eV per cell
! * ΔE to the lowest computed polymorph: 111 kJ/mol of formula units
! * space-group type: P4/mmm (123)
! * energy of formation from the pure elements: 0.612 eV/atom

---

[7]
! GGA-PBE Co3HgMo, optimized geometry; values from VASP
&SYSTEM
  ibrav = 0, nat = 5, ntyp = 3
/
ATOMIC_SPECIES
Co 58.93 Co.upf
Hg 200.59 Hg.upf
Mo 95.94 Mo.upf
ATOMIC_POSITIONS angstrom
Co 0.000 0.000 2.215
Co 0.000 2.215 0.000
Co 2.215 0.000 0.000
Hg 2.215 2.215 2.215
Mo 0.000 0.000 0.000
CELL_PARAMETERS angstrom
4.430 0.000 0.000
0.000 4.430 0.000
0.000 0.000 4.430
! * electronic total energy: -25.7 eV per cell
! * ΔE to the lowest computed polymorph: 0 kJ/mol of formula units
! * space-group type: Pm-3m (221)
! * energy of formation from the pure elements: 1.360 eV/atom

---

[8]
! GGA-PBE Co2HgMo2, optimized geometry; values from VASP
&SYSTEM
  ibrav = 0, nat = 5, ntyp = 3
/
ATOMIC_SPECIES
Co 58.93 Co.upf
Hg 200.59 Hg.upf
Mo 95.94 Mo.upf
ATOMIC_POSITIONS angstrom
Co 1.846 0.000 2.904
Co 0.000 1.846 2.904
Hg 0.000 0.000 0.000
Mo 0.000 0.000 4.484
Mo 0.000 0.000 7.134
CELL_PARAMETERS angstrom
-1.846 1.846 5.809
1.846 -1.846 5.809
1.846 1.846 -5.809
! * electronic total energy: -33.0 eV per cell
! * ΔE to the lowest computed polymorph: 181 kJ/mol of formula units
! * space-group type: I4/mmm (139)
! * energy of formation from the pure elements: 0.627 eV/atom

---

[9]
! GGA-PBE CoHg2Mo, optimized geometry; values from VASP
&SYSTEM
  ibrav = 0, nat = 4, ntyp = 3
/
ATOMIC_SPECIES
Co 58.93 Co.upf
Hg 200.59 Hg.upf
Mo 95.94 Mo.upf
ATOMIC_POSITIONS angstrom
Co 0.000 0.000 0.000
Hg 0.000 2.428 1.481
Hg 2.428 0.000 1.481
Mo 2.428 2.428 0.000
CELL_PARAMETERS angstrom
4.857 0.000 0.000
0.000 4.857 0.000
0.000 0.000 2.961
! * electronic total energy: -15.6 eV per cell
! * ΔE to the lowest computed polymorph: 159 kJ/mol of formula units
! * space-group type: P4/mmm (123)
! * energy of formation from the pure elements: 0.735 eV/atom

---

[10]
! GGA-PBE CoHg2Mo, optimized geometry; values from VASP
&SYSTEM
  ibrav = 0, nat = 4, ntyp = 3
/
ATOMIC_SPECIES
Co 58.93 Co.upf
Hg 200.59 Hg.upf
Mo 95.94 Mo.upf
ATOMIC_POSITIONS angstrom
Co 0.000 0.000 0.000
Hg 0.841 2.230 1.351
Hg 0.680 2.230 4.207
Mo -0.640 0.000 2.779
CELL_PARAMETERS angstrom
2.801 0.000 0.000
0.000 4.461 0.000
-1.281 0.000 5.558
! * electronic total energy: -15.8 eV per cell
! * ΔE to the lowest computed polymorph: 142 kJ/mol of formula units
! * space-group type: P2/m (10)
! * energy of formation from the pure elements: 0.694 eV/atom

---

[11]
! GGA-PBE Co3HgMo, optimized geometry; values from VASP
&SYSTEM
  ibrav = 0, nat = 5, ntyp = 3
/
ATOMIC_SPECIES
Co 58.93 Co.upf
Hg 200.59 Hg.upf
Mo 95.94 Mo.upf
ATOMIC_POSITIONS angstrom
Co 0.000 0.000 2.330
Co 0.000 2.330 0.000
Co 2.330 0.000 0.000
Hg 0.000 0.000 0.000
Mo 2.330 2.330 2.330
CELL_PARAMETERS angstrom
4.661 0.000 0.000
0.000 4.661 0.000
0.000 0.000 4.661
! * electronic total energy: -21.8 eV per cell
! * ΔE to the lowest computed polymorph: 374 kJ/mol of formula units
! * space-group type: Pm-3m (221)
! * energy of formation from the pure elements: 2.135 eV/atom

---

[12]
! GGA-PBE CoHg2Mo, optimized geometry; values from VASP
&SYSTEM
  ibrav = 0, nat = 4, ntyp = 3
/
ATOMIC_SPECIES
Co 58.93 Co.upf
Hg 200.59 Hg.upf
Mo 95.94 Mo.upf
ATOMIC_POSITIONS angstrom
Co 0.000 0.000 0.000
Hg 1.448 2.127 1.416
Hg 1.448 -2.127 1.416
Mo 2.896 0.000 0.000
CELL_PARAMETERS angstrom
2.896 -4.254 0.000
2.896 4.254 0.000
0.000 0.000 2.831
! * electronic total energy: -15.9 eV per cell
! * ΔE to the lowest computed polymorph: 131 kJ/mol of formula units
! * space-group type: Cmmm (65)
! * energy of formation from the pure elements: 0.664 eV/atom